# 1
Compound: Mg2TcOs
Source: Alexandria via LeMat-Bulk
Functional: meta-GGA SCAN
Structure: PBEsol geometry

Summary:
The crystal system is orthorhombic. Its formation energy is 0.17 eV/atom. As for the energy above the lowest structure with this stoichiometry: 197 meV per atom.

a b c (Å): 3.156 4.308 4.470
angles (deg): 90.00 90.00 90.00
Space group Pmmm (No. 47)
Unique sites:
Mg 0.000 0.000 0.000 x1
Mg 0.500 0.500 0.000 x1
Tc 0.000 0.500 0.500 x1
Os 0.500 0.000 0.500 x1

---

# 2
Compound: MgH2Pd
Source: Alexandria via LeMat-Bulk
Functional: meta-GGA SCAN
Structure: PBEsol geometry

Summary:
The crystal system is tetragonal. The electronic total energy comes out at -11.476 eV/atom.

a b c (Å): 4.283 4.283 8.843
angles (deg): 90.00 90.00 90.00
Space group I-42d (No. 122)
Unique sites:
Mg 0.000 0.000 0.000 x4
H 0.211 0.250 0.625 x8
Pd 0.000 0.000 0.500 x4

---

# 3
Compound: TaNiRh2
Source: Alexandria via LeMat-Bulk
Functional: meta-GGA SCAN
Structure: PBEsol geometry

Summary:
The crystal system is tetragonal. Its formation energy is -0.57 eV/atom.

a b c (Å): 3.831 3.831 3.686
angles (deg): 90.00 90.00 90.00
Space group P4/mmm (No. 123)
Unique sites:
Ta 0.000 0.000 0.000 x1
Ni 0.500 0.500 0.000 x1
Rh 0.000 0.500 0.500 x2

---

# 4
Compound: Ba2CaBe
Source: Alexandria via LeMat-Bulk
Functional: meta-GGA SCAN
Structure: PBEsol geometry

Summary:
The crystal system is orthorhombic. Its formation energy is 0.37 eV/atom.

a b c (Å): 4.041 5.644 14.212
angles (deg): 90.00 90.00 90.00
Space group Amm2 (No. 38)
Unique sites:
Ba 0.000 0.000 0.000 x2
Ba 0.500 0.000 0.316 x2
Ca 0.500 0.000 0.635 x2
Be 0.000 0.000 0.779 x2

---

# 5
Compound: Li2ZnSi
Source: Alexandria via LeMat-Bulk
Functional: meta-GGA SCAN
Structure: PBEsol geometry

Summary:
The crystal system is hexagonal. The calculation puts the formation energy (no corrections) at -0.302 eV per atom.

a b c (Å): 4.1654 4.1654 8.1317
angles (deg): 90.00 90.00 120.00
Space group P6_3/mmc (No. 194)
Unique sites:
Li 0.3333 0.6667 0.0831 x4
Zn 0.0000 0.0000 0.2500 x2
Si 0.3333 0.6667 0.7500 x2

---

# 6
Compound: K2CoHg
Source: Alexandria via LeMat-Bulk
Functional: meta-GGA SCAN
Structure: PBEsol geometry

Summary:
The crystal system is tetragonal. Its formation energy is 0.41 eV/atom.

a b c (Å): 5.228 5.228 7.573
angles (deg): 90.00 90.00 90.00
Space group I-4m2 (No. 119)
Unique sites:
K 0.000 0.000 0.000 x2
K 0.000 0.500 0.250 x2
Co 0.000 0.000 0.500 x2
Hg 0.000 0.500 0.750 x2

---

| no. | density (kg/m³) |
| --- | --- |
| 1 | 9204 |
| 2 | 5435 |
| 3 | 13672 |
| 4 | 3317 |
| 5 | 2919 |
| 6 | 5418 |